No. 1
# SiW2C, PBEsol geometry, DFT SCAN
data_SiW2C
_cell_length_a 4.896
_cell_length_b 4.896
_cell_length_c 10.884
_cell_angle_alpha 90.00
_cell_angle_beta 90.00
_cell_angle_gamma 90.00
_space_group_name_H-M_alt 'I -4 2 d'
_space_group_IT_number 122
_space_group_name_Hall 'I -4 2bw'
loop_
_atom_site_label
_atom_site_type_symbol
_atom_site_fract_x
_atom_site_fract_y
_atom_site_fract_z
Si1 Si 0.000 0.000 0.000
W1 W 0.165 0.250 0.625
C1 C 0.000 0.000 0.500
# formation energy from raw total energies: 1.0301 eV/atom


No. 2
# Zr2SiC, PBEsol geometry, DFT SCAN
data_Zr2SiC
_cell_length_a 6.260
_cell_length_b 6.260
_cell_length_c 6.260
_cell_angle_alpha 90.00
_cell_angle_beta 90.00
_cell_angle_gamma 90.00
_space_group_name_H-M_alt 'F m -3 m'
_space_group_IT_number 225
_space_group_name_Hall '-F 4 2 3'
loop_
_atom_site_label
_atom_site_type_symbol
_atom_site_fract_x
_atom_site_fract_y
_atom_site_fract_z
Zr1 Zr 0.250 0.250 0.250
Si1 Si 0.000 0.000 0.000
C1 C 0.000 0.000 0.500
# formation energy from raw total energies: 0.3709 eV/atom


No. 3
# ZrSi3C, PBEsol geometry, DFT SCAN
data_ZrSi3C
_cell_length_a 4.095
_cell_length_b 4.095
_cell_length_c 4.095
_cell_angle_alpha 90.00
_cell_angle_beta 90.00
_cell_angle_gamma 90.00
_space_group_name_H-M_alt 'P m -3 m'
_space_group_IT_number 221
_space_group_name_Hall '-P 4 2 3'
loop_
_atom_site_label
_atom_site_type_symbol
_atom_site_fract_x
_atom_site_fract_y
_atom_site_fract_z
Zr1 Zr 0.000 0.000 0.000
Si1 Si 0.000 0.500 0.500
C1 C 0.500 0.500 0.500
# formation energy from raw total energies: 0.6307 eV/atom


No. 4
This record from the Alexandria database describes a PBEsol-optimized structure of Sm2C. The functional is SCAN.

CIF file:
```
data_Sm2C
_cell_length_a 3.5893
_cell_length_b 3.5893
_cell_length_c 19.2370
_cell_angle_alpha 90.00
_cell_angle_beta 90.00
_cell_angle_gamma 120.00
_space_group_name_H-M_alt 'R -3 m'
_space_group_IT_number 166
_space_group_name_Hall '-R 3 2"'
loop_
_atom_site_label
_atom_site_type_symbol
_atom_site_fract_x
_atom_site_fract_y
_atom_site_fract_z
Sm1 Sm 0.0000 0.0000 0.2384
C1 C 0.0000 0.0000 0.5000
```


Total DFT energy (no corrections) values (in eV/f.u.) by entry order: -155.371 -80.029 -67.692 -99.841.